Entry 1:
A relaxed Nd3SmEr4 crystal, computed with PBE.

abc: 8.945 8.945 8.945
angles: 157.70 98.55 85.76
Atoms (fractional coordinates):
Nd (0.000, 0.000, 0.000)
Nd (0.257, 0.757, 0.500)
Nd (0.743, 0.243, 0.500)
Sm (0.500, 0.500, 0.000)
Er (0.118, 0.365, 0.753)
Er (0.388, 0.635, 0.753)
Er (0.612, 0.365, 0.247)
Er (0.882, 0.635, 0.247)

Computed properties:
uncorrected energy: -0.16614 Ha/atom
energy relative to the lowest polymorph listed for this composition: 0.112 eV/atom
crystal system: orthorhombic
formation enthalpy at 0 K: 0.14 eV/atom

***

Entry 2:
A relaxed Sr2CaErS4 crystal, computed with PBE.

abc: 7.081 4.078 7.143
angles: 90.00 109.19 90.00
Atoms (fractional coordinates):
Sr (0.000, 0.000, 0.000)
Sr (0.500, 0.500, 0.000)
Ca (0.000, 0.500, 0.500)
Er (0.500, 0.000, 0.500)
S (0.251, 0.000, 0.730)
S (0.264, 0.500, 0.273)
S (0.736, 0.500, 0.727)
S (0.749, 0.000, 0.270)

Computed properties:
uncorrected formation energy: -16.607 eV/f.u.
uncorrected energy: -0.19773 Ha/atom
crystal system: monoclinic

***

Entry 3:
A relaxed ZnCd crystal, computed with PBE.

abc: 5.205 5.205 5.205
angles: 131.98 131.98 70.26
Atoms (fractional coordinates):
Zn (0.375, 0.625, 0.750)
Zn (0.625, 0.375, 0.250)
Cd (0.125, 0.875, 0.250)
Cd (0.875, 0.125, 0.750)

Computed properties:
uncorrected energy: -0.03688 Ha/atom
crystal system: tetragonal
formation enthalpy at 0 K: 0.09 eV/atom

***

Entry 4:
A relaxed LiNpTaN3 crystal, computed with PBE.

abc: 6.676 3.155 6.812
angles: 90.00 104.06 90.00
Atoms (fractional coordinates):
Li (0.079, 0.250, 0.085)
Li (0.921, 0.750, 0.915)
Np (0.192, 0.250, 0.718)
Np (0.808, 0.750, 0.282)
Ta (0.333, 0.750, 0.317)
Ta (0.667, 0.250, 0.683)
N (0.121, 0.250, 0.368)
N (0.221, 0.750, 0.018)
N (0.440, 0.750, 0.662)
N (0.560, 0.250, 0.338)
N (0.779, 0.250, 0.982)
N (0.879, 0.750, 0.632)

Computed properties:
uncorrected formation energy: -5.504 eV/f.u.
uncorrected energy: -0.35027 Ha/atom
crystal system: monoclinic

***

Entry 5:
A relaxed SrMn2H7 crystal, computed with PBE.

abc: 5.301 5.301 3.563
angles: 90.00 90.00 123.33
Atoms (fractional coordinates):
Sr (0.000, 0.000, 0.000)
Mn (0.313, 0.687, 0.500)
Mn (0.687, 0.313, 0.500)
H (0.023, 0.329, 0.500)
H (0.329, 0.023, 0.500)
H (0.339, 0.661, 0.000)
H (0.500, 0.500, 0.500)
H (0.661, 0.339, 0.000)
H (0.671, 0.977, 0.500)
H (0.977, 0.671, 0.500)

Computed properties:
uncorrected energy: -0.16482 Ha/atom
crystal system: orthorhombic

***

Entry 6:
A relaxed ZnAgPPb2 crystal, computed with PBE.

abc: 5.690 5.690 4.612
angles: 90.00 90.00 90.00
Atoms (fractional coordinates):
Zn (0.000, 0.000, 0.000)
Ag (0.500, 0.500, 0.500)
P (0.500, 0.500, 0.000)
Pb (0.000, 0.500, 0.500)
Pb (0.500, 0.000, 0.500)

Computed properties:
uncorrected energy: -0.10258 Ha/atom
crystal system: tetragonal
formation enthalpy at 0 K: 0.60 eV/atom

***

Entry 7:
A relaxed ZrCrGe crystal, computed with PBE.

abc: 4.923 4.923 5.524
angles: 104.08 104.08 50.74
Atoms (fractional coordinates):
Zr (0.000, 0.000, 0.000)
Zr (0.731, 0.731, 0.367)
Cr (0.410, 0.410, 0.663)
Cr (0.683, 0.683, 0.831)
Ge (0.078, 0.078, 0.553)
Ge (0.318, 0.318, 0.076)

Computed properties:
uncorrected energy: -0.28739 Ha/atom
crystal system: monoclinic
formation enthalpy at 0 K: -0.22 eV/atom

***

Entry 8:
A relaxed K2UTeSe5 crystal, computed with PBE.

abc: 10.643 10.643 13.264
angles: 90.00 90.00 157.42
Atoms (fractional coordinates):
K (0.122, 0.878, 0.500)
K (0.129, 0.871, 0.065)
K (0.871, 0.129, 0.565)
K (0.878, 0.122, 0.000)
U (0.229, 0.771, 0.782)
U (0.771, 0.229, 0.282)
Te (0.493, 0.507, 0.745)
Te (0.507, 0.493, 0.245)
Se (0.099, 0.901, 0.792)
Se (0.275, 0.725, 0.418)
Se (0.281, 0.719, 0.146)
Se (0.361, 0.639, 0.783)
Se (0.497, 0.503, 0.558)
Se (0.503, 0.497, 0.058)
Se (0.639, 0.361, 0.283)
Se (0.719, 0.281, 0.646)
Se (0.725, 0.275, 0.918)
Se (0.901, 0.099, 0.292)

Computed properties:
uncorrected formation energy: -7.343 eV/f.u.
uncorrected energy: -0.16901 Ha/atom
crystal system: orthorhombic